(1)
Entry from Alexandria: LaTaBe3 after structural relaxation (PBE-GGA).

Values from the calculation:
**Formation energy from the elements**: 2.2020 eV/atom
**Magnetization**: 1.088 μB/f.u.
**Energy relative to the lowest polymorph listed for this composition**: 1466.7 meV/atom

a b c (Å): 4.5325 4.5325 4.5325
angles (deg): 90.00 90.00 90.00
Closest atoms and distances in Å follow each position.
Fractional coordinates of all 5 atoms:
Be (0.0000, 0.5000, 0.0000)  2 La 2.27
Be (0.0000, 0.0000, 0.5000)  2 La 2.27
Be (0.5000, 0.0000, 0.0000)  2 La 2.27
La (0.0000, 0.0000, 0.0000)  6 Be 2.27
Ta (0.5000, 0.5000, 0.5000)  12 Be 3.20

(2)
Entry from Alexandria: OsSe after structural relaxation (PBE-GGA).

Values from the calculation:
**Formation energy from raw total energies**: 945 meV per atom
**Magnetization**: 0.000 μB/f.u.

a b c (Å): 6.7902 6.7902 6.7902
angles (deg): 90.00 90.00 90.00
Closest atoms and distances in Å follow each position.
Fractional coordinates of all 12 atoms:
Os (0.2500, 0.0000, 0.5000)  4 Se 2.40
Os (0.7500, 0.0000, 0.5000)  4 Se 2.40
Os (0.0000, 0.5000, 0.2500)  4 Se 2.40
Os (0.0000, 0.5000, 0.7500)  4 Se 2.40
Os (0.5000, 0.2500, 0.0000)  4 Se 2.40
Os (0.5000, 0.7500, 0.0000)  4 Se 2.40
Se (0.2500, 0.5000, 0.0000)  4 Os 2.40
Se (0.7500, 0.5000, 0.0000)  4 Os 2.40
Se (0.5000, 0.0000, 0.2500)  4 Os 2.40
Se (0.5000, 0.0000, 0.7500)  4 Os 2.40
Se (0.0000, 0.2500, 0.5000)  4 Os 2.40
Se (0.0000, 0.7500, 0.5000)  4 Os 2.40

(3)
Entry from Alexandria: RbAlAu2 after structural relaxation (PBE-GGA).

Values from the calculation:
**Formation energy from the elements**: -0.1627 eV/atom
**Magnetization**: 0.000 μB/f.u.

a b c (Å): 3.3380 3.3380 8.3430
angles (deg): 90.00 90.00 90.00
Closest atoms and distances in Å follow each position.
Fractional coordinates of all 4 atoms:
Au (0.0000, 0.0000, 0.8277)  4 Al 2.76, 1 Au 2.88
Au (0.0000, 0.0000, 0.1723)  4 Al 2.76, 1 Au 2.88
Al (0.5000, 0.5000, 0.0000)  8 Au 2.76
Rb (0.5000, 0.5000, 0.5000)  4 Rb 3.34, 8 Au 3.61

(4)
Entry from Alexandria: SbPbSe3 after structural relaxation (PBE-GGA).

Values from the calculation:
**Formation energy from raw total energies**: -309 meV per atom
**Magnetization**: 0.000 μB/f.u.
**Energy relative to the lowest polymorph listed for this composition**: 0.0 meV/atom

a b c (Å): 4.1878 8.5311 15.4025
angles (deg): 90.00 90.00 90.00
Closest atoms and distances in Å follow each position.
Fractional coordinates of all 20 atoms:
Sb (0.2500, 0.6699, 0.5613)  6 Se 2.71-2.94
Sb (0.7500, 0.3301, 0.4387)  6 Se 2.71-2.94
Sb (0.7500, 0.8301, 0.0613)  6 Se 2.71-2.94
Sb (0.2500, 0.1699, 0.9387)  6 Se 2.71-2.94
Pb (0.2500, 0.9634, 0.3206)  4 Se 2.96-3.24
Pb (0.7500, 0.0366, 0.6794)  4 Se 2.96-3.24
Pb (0.7500, 0.5366, 0.8206)  4 Se 2.96-3.24
Pb (0.2500, 0.4634, 0.1794)  4 Se 2.96-3.24
Se (0.7500, 0.1967, 0.2791)  1 Sb 2.71, 2 Pb 2.96
Se (0.2500, 0.6311, 0.0014)  2 Sb 2.85, 2 Se 3.06, 1 Pb 3.09
Se (0.2500, 0.0312, 0.1133)  3 Sb 2.82-2.94
Se (0.2500, 0.5312, 0.3867)  3 Sb 2.82-2.94
Se (0.2500, 0.1311, 0.4986)  2 Sb 2.85, 2 Se 3.06, 1 Pb 3.09
Se (0.7500, 0.4688, 0.6133)  3 Sb 2.82-2.94
Se (0.2500, 0.3033, 0.7791)  1 Sb 2.71, 2 Pb 2.96
Se (0.7500, 0.9688, 0.8867)  3 Sb 2.82-2.94
Se (0.7500, 0.3689, 0.9986)  2 Sb 2.85, 2 Se 3.06, 1 Pb 3.09
Se (0.7500, 0.6967, 0.2209)  1 Sb 2.71, 2 Pb 2.96
Se (0.7500, 0.8689, 0.5014)  2 Sb 2.85, 2 Se 3.06, 1 Pb 3.09
Se (0.2500, 0.8033, 0.7209)  1 Sb 2.71, 2 Pb 2.96

(5)
Entry from Alexandria: TaBePb2 after structural relaxation (PBE-GGA).

Values from the calculation:
**Formation energy from the elements**: 0.9785 eV/atom
**Magnetization**: 0.000 μB/f.u.

a b c (Å): 7.6208 7.6208 6.1363
angles (deg): 51.61 51.61 90.00
Closest atoms and distances in Å follow each position.
Fractional coordinates of all 8 atoms:
Pb (0.5780, 0.1250, 0.2500)  2 Be 2.56
Pb (0.1720, 0.6250, 0.2500)  2 Be 2.56
Pb (0.3750, 0.4220, 0.7500)  2 Be 2.56
Pb (0.8750, 0.8280, 0.7500)  2 Be 2.56
Be (0.5000, 0.5000, 0.0000)  4 Pb 2.56
Be (0.2500, 0.7500, 0.5000)  4 Pb 2.56
Ta (0.0000, 0.0000, 0.0000)  2 Be 2.94, 4 Pb 3.05
Ta (0.7500, 0.2500, 0.5000)  2 Be 2.94, 4 Pb 3.05

(6)
Entry from Alexandria: AcTaGa2 after structural relaxation (PBE-GGA).

Values from the calculation:
**Formation energy from the elements**: 0.4942 eV/atom
**Magnetization**: 0.000 μB/f.u.

a b c (Å): 3.2310 3.2310 10.8897
angles (deg): 81.47 81.47 60.00
Closest atoms and distances in Å follow each position.
Fractional coordinates of all 4 atoms:
Ac (0.0000, 0.0000, 0.0000)  2 Ga 3.21, 6 Ac 3.23
Ga (0.0999, 0.0999, 0.7004)  3 Ta 2.85
Ga (0.9001, 0.9001, 0.2996)  3 Ta 2.85
Ta (0.5000, 0.5000, 0.5000)  6 Ga 2.85